Entry 1:
# AcInAg2Pd

AcInAg2Pd after structural relaxation (PBE, Alexandria via LeMat-Bulk).

Results
- formation energy (eV per atom) = -0.42

a = 4.0980 Å, b = 4.5024 Å, c = 7.1611 Å
α = 108.32°, β = 106.63°, γ = 90.00°
Closest atoms and distances in Å follow each position.
Fractional positions:
Ac (0.4298, 0.4298, 0.8596)  4 Pd 3.26, 6 Ag 3.42-3.58
In (0.1905, 0.6905, 0.3810)  2 Pd 2.81, 6 Ag 2.90-3.05
Ag (0.7029, 0.2029, 0.4058)  2 Ag 2.85, 2 Pd 2.86, 4 In 3.05
Ag (0.0500, 0.0500, 0.0999)  1 Pd 2.73, 2 Ag 2.85, 2 In 2.90
Pd (0.8390, 0.8390, 0.6780)  3 Ag 2.73-2.86, 2 In 2.81

---

Entry 2:
# KTl2ZnGa

KTl2ZnGa after structural relaxation (PBE, Alexandria via LeMat-Bulk).

Results
- offset from the most stable computed form (meV/atom) = 5.2
- formation energy (eV per atom) = 0.11

a = 5.7007 Å, b = 5.7007 Å, c = 4.8649 Å
α = 90.00°, β = 90.00°, γ = 90.00°
Closest atoms and distances in Å follow each position.
Fractional positions:
K (0.5000, 0.5000, 0.5000)  8 Tl 3.75, 4 Ga 4.03
Tl (0.0000, 0.5000, 0.0000)  2 Zn 2.85
Tl (0.5000, 0.0000, 0.0000)  2 Zn 2.85
Zn (0.0000, 0.0000, 0.0000)  2 Ga 2.43
Ga (0.0000, 0.0000, 0.5000)  2 Zn 2.43

---

Entry 3:
# CePr2Ga2

CePr2Ga2 after structural relaxation (PBE, Alexandria via LeMat-Bulk).

Results
- offset from the most stable computed form (meV/atom) = 157.8
- formation energy (eV per atom) = -0.27

a = 6.0757 Å, b = 8.6904 Å, c = 7.7468 Å
α = 124.12°, β = 113.09°, γ = 90.00°
Closest atoms and distances in Å follow each position.
Fractional positions:
Ce (0.7500, 0.5000, 0.0000)  2 Ce 3.04, 4 Ga 3.07
Ce (0.2500, 0.5000, 0.0000)  2 Ce 3.04, 4 Ga 3.07
Pr (0.8510, 0.7255, 0.7021)  5 Ga 2.99-3.20
Pr (0.1490, 0.2745, 0.2979)  5 Ga 2.99-3.20
Pr (0.6490, 0.0235, 0.2979)  5 Ga 2.99-3.20
Pr (0.3510, 0.9765, 0.7021)  5 Ga 2.99-3.20
Ga (0.3886, 0.6599, 0.7772)  5 Pr 2.99-3.20, 2 Ce 3.07
Ga (0.6114, 0.3401, 0.2228)  5 Pr 2.99-3.20, 2 Ce 3.07
Ga (0.1114, 0.8827, 0.2228)  5 Pr 2.99-3.20, 2 Ce 3.07
Ga (0.8886, 0.1173, 0.7772)  5 Pr 2.99-3.20, 2 Ce 3.07

---

Entry 4:
# CsHfRu2

CsHfRu2 after structural relaxation (PBE, Alexandria via LeMat-Bulk).

Results
- offset from the most stable computed form (meV/atom) = 57.8
- formation energy (eV per atom) = 1.17

a = 5.2328 Å, b = 5.2328 Å, c = 9.4334 Å
α = 73.90°, β = 73.90°, γ = 90.00°
Closest atoms and distances in Å follow each position.
Fractional positions:
Cs (0.5000, 0.5000, 0.0000)  8 Ru 3.54-3.74, 4 Hf 3.70
Cs (0.2500, 0.7500, 0.5000)  8 Ru 3.54-3.74, 4 Hf 3.70
Ru (0.8485, 0.1250, 0.2500)  2 Hf 2.54, 2 Ru 2.63
Ru (0.9015, 0.6250, 0.2500)  2 Hf 2.54, 2 Ru 2.63
Ru (0.3750, 0.1515, 0.7500)  2 Hf 2.54, 2 Ru 2.63
Ru (0.8750, 0.0985, 0.7500)  2 Hf 2.54, 2 Ru 2.63
Hf (0.0000, 0.0000, 0.0000)  4 Ru 2.54
Hf (0.7500, 0.2500, 0.5000)  4 Ru 2.54

---

Entry 5:
# Th2NbC

Th2NbC after structural relaxation (PBE, Alexandria via LeMat-Bulk).

Results
- formation energy (eV per atom) = 0.43

a = 3.4449 Å, b = 3.4449 Å, c = 9.2487 Å
α = 79.27°, β = 79.27°, γ = 60.00°
Closest atoms and distances in Å follow each position.
Fractional positions:
Nb (0.0000, 0.0000, 0.0000)  2 Th 2.97
C (0.5000, 0.5000, 0.5000)  6 Th 2.52
Th (0.1097, 0.1097, 0.6709)  3 C 2.52
Th (0.8903, 0.8903, 0.3291)  3 C 2.52

---

Entry 6:
# OsSeCl2

OsSeCl2 after structural relaxation (PBE, Alexandria via LeMat-Bulk).

Results
- formation energy (no corrections) (eV/atom) = 1.34
- offset from the most stable computed form (meV/atom) = 1454.1

a = 5.0599 Å, b = 5.0599 Å, c = 2.8996 Å
α = 90.00°, β = 90.00°, γ = 109.72°
Closest atoms and distances in Å follow each position.
Fractional positions:
Os (0.5000, 0.0000, 0.5000)  2 Os 2.90, 2 Se 2.91, 8 Cl 2.92
Se (0.0000, 0.5000, 0.5000)  2 Se 2.90, 2 Os 2.91, 8 Cl 2.92
Cl (0.0000, 0.0000, 0.0000)  4 Cl 2.90-2.91, 4 Se 2.92, 4 Os 2.92
Cl (0.5000, 0.5000, 0.0000)  4 Cl 2.90-2.91, 4 Os 2.92, 4 Se 2.92

---

Entry 7:
# Ba2CaMgAl2F14

Ba2CaMgAl2F14 after structural relaxation (PBE, Alexandria via LeMat-Bulk).

Results
- formation energy (no corrections) (eV/atom) = -3.75

a = 7.3850 Å, b = 7.3850 Å, c = 14.8020 Å
α = 88.24°, β = 88.24°, γ = 41.89°
Closest atoms and distances in Å follow each position.
Fractional positions:
Al (0.8783, 0.8894, 0.8784)  6 F 1.80-1.87
Al (0.1106, 0.1217, 0.6216)  6 F 1.80-1.87
Al (0.1217, 0.1106, 0.1216)  6 F 1.80-1.87
Al (0.8894, 0.8783, 0.3784)  6 F 1.80-1.87
Ba (0.7687, 0.8490, 0.6183)  8 F 2.69-2.98
Ba (0.1510, 0.2313, 0.8817)  8 F 2.69-2.98
Ba (0.2313, 0.1510, 0.3817)  8 F 2.69-2.98
Ba (0.8490, 0.7687, 0.1183)  8 F 2.69-2.98
Ca (0.4390, 0.5610, 0.7500)  6 F 2.24-2.41
Ca (0.5610, 0.4390, 0.2500)  6 F 2.24-2.41
F (0.7166, 0.8024, 0.9201)  1 Al 1.81
F (0.1976, 0.2834, 0.5799)  1 Al 1.81
F (0.2834, 0.1976, 0.0799)  1 Al 1.81
F (0.8024, 0.7166, 0.4201)  1 Al 1.81
F (0.2692, 0.8896, 0.0239)  1 Al 1.83, 1 Mg 2.01
F (0.1104, 0.7308, 0.4761)  1 Al 1.83, 1 Mg 2.01
F (0.7308, 0.1104, 0.9761)  1 Al 1.83, 1 Mg 2.01
F (0.8896, 0.2692, 0.5239)  1 Al 1.83, 1 Mg 2.01
F (0.6016, 0.1723, 0.4502)  1 Al 1.87, 1 Mg 2.08
F (0.8277, 0.3984, 0.0498)  1 Al 1.87, 1 Mg 2.08
F (0.3984, 0.8277, 0.5498)  1 Al 1.87, 1 Mg 2.08
F (0.1723, 0.6016, 0.9502)  1 Al 1.87, 1 Mg 2.08
F (0.0694, 0.9437, 0.8418)  1 Al 1.80
F (0.0563, 0.9306, 0.6582)  1 Al 1.80
F (0.9306, 0.0563, 0.1582)  1 Al 1.80
F (0.9437, 0.0694, 0.3418)  1 Al 1.80
F (0.6427, 0.0398, 0.2849)  1 Al 1.86
F (0.9602, 0.3573, 0.2151)  1 Al 1.86
F (0.3573, 0.9602, 0.7151)  1 Al 1.86
F (0.0398, 0.6427, 0.7849)  1 Al 1.86
F (0.4060, 0.8460, 0.1945)  1 Al 1.81
F (0.1540, 0.5940, 0.3055)  1 Al 1.81
F (0.5940, 0.1540, 0.8055)  1 Al 1.81
F (0.8460, 0.4060, 0.6945)  1 Al 1.81
F (0.4896, 0.3806, 0.6193)  1 Mg 1.97
F (0.6194, 0.5104, 0.8807)  1 Mg 1.97
F (0.5104, 0.6194, 0.3807)  1 Mg 1.97
F (0.3806, 0.4896, 0.1193)  1 Mg 1.97
Mg (0.5000, 0.5000, 0.0000)  6 F 1.97-2.08
Mg (0.5000, 0.5000, 0.5000)  6 F 1.97-2.08

---

Entry 8:
# TbY8Sc2

TbY8Sc2 after structural relaxation (PBE, Alexandria via LeMat-Bulk).

Results
- offset from the most stable computed form (meV/atom) = 17.3
- formation energy (eV per atom) = 0.19

a = 6.3745 Å, b = 9.2840 Å, c = 9.2840 Å
α = 42.26°, β = 71.13°, γ = 71.13°
Closest atoms and distances in Å follow each position.
Fractional positions:
Tb (0.0000, 0.0000, 0.0000)  10 Y 3.42-3.70
Y (0.2970, 0.3444, 0.8602)  2 Sc 3.22-3.24, 5 Y 3.24-3.59, 1 Tb 3.42
Y (0.7030, 0.1398, 0.6556)  2 Sc 3.22-3.24, 5 Y 3.24-3.59, 1 Tb 3.42
Y (0.3234, 0.7899, 0.7899)  4 Sc 3.30-3.66, 1 Tb 3.51
Y (0.6766, 0.2101, 0.2101)  4 Sc 3.30-3.66, 1 Tb 3.51
Y (0.2970, 0.8602, 0.3444)  2 Sc 3.22-3.24, 5 Y 3.24-3.59, 1 Tb 3.42
Y (0.7030, 0.6556, 0.1398)  2 Sc 3.22-3.24, 5 Y 3.24-3.59, 1 Tb 3.42
Y (0.7589, 0.5685, 0.5685)  1 Sc 3.12, 3 Y 3.17-3.29
Y (0.2411, 0.4315, 0.4315)  1 Sc 3.12, 3 Y 3.17-3.29
Sc (0.8928, 0.7256, 0.7256)  7 Y 3.12-3.41
Sc (0.1072, 0.2744, 0.2744)  7 Y 3.12-3.41